First-principles (SCAN) data for a crystal of CaMg2Sb relaxed with PBEsol, as listed in Alexandria via LeMat-Bulk.

a b c (Å): 4.438 4.438 10.363
angles (deg): 90.00 90.00 90.00
Space group I4/mmm (No. 139)
Symmetry-distinct sites (fractional):
Ca1 0.000 0.000 0.000 x2
Mg1 0.000 0.500 0.250 x4
Sb1 0.000 0.000 0.500 x2

Output
E above lowest polymorph = 0.00 kJ/mol of atoms
Total moment = 0.0 μB/f.u.

=====

First-principles (SCAN) data for a crystal of RbZn2Cd2 relaxed with PBEsol, as listed in Alexandria via LeMat-Bulk.

a b c (Å): 4.891 4.891 10.632
angles (deg): 90.00 90.00 90.00
Space group I4/mmm (No. 139)
Symmetry-distinct sites (fractional):
Rb1 0.000 0.000 0.000 x2
Zn1 0.000 0.500 0.250 x4
Cd1 0.000 0.000 0.364 x4

Output
ΔH_f (0 K) = 0.047 eV/atom
Total moment = 0.0 μB/f.u.

=====

First-principles (SCAN) data for a crystal of Tl2InSF relaxed with PBEsol, as listed in Alexandria via LeMat-Bulk.

a b c (Å): 5.558 5.558 4.254
angles (deg): 90.00 90.00 90.00
Space group P4/mmm (No. 123)
Symmetry-distinct sites (fractional):
Tl1 0.000 0.500 0.000 x2
In1 0.000 0.000 0.000 x1
S1 0.500 0.500 0.500 x1
F1 0.000 0.000 0.500 x1

Output
Total DFT energy (no corrections) = -193.729 eV/cell
Total moment = 0.3 μB/f.u.

=====

First-principles (SCAN) data for a crystal of InRh2Pb relaxed with PBEsol, as listed in Alexandria via LeMat-Bulk.

a b c (Å): 4.680 4.680 3.145
angles (deg): 90.00 90.00 90.00
Space group P4/mmm (No. 123)
Symmetry-distinct sites (fractional):
In1 0.000 0.000 0.000 x1
Rh1 0.000 0.500 0.500 x2
Pb1 0.500 0.500 0.000 x1

Output
ΔH_f (0 K) = -0.087 eV/atom
Total moment = 0.0 μB/f.u.

=====

First-principles (SCAN) data for a crystal of SrZrCl relaxed with PBEsol, as listed in Alexandria via LeMat-Bulk.

a b c (Å): 3.995 5.381 13.647
angles (deg): 90.00 90.00 90.00
Space group Fmm2 (No. 42)
Symmetry-distinct sites (fractional):
Sr1 0.000 0.000 0.000 x4
Zr1 0.000 0.000 0.304 x4
Cl1 0.000 0.000 0.667 x4

Output
Total DFT energy (no corrections) = -250.074 eV/cell
Total moment = 0.7 μB/f.u.

=====

First-principles (SCAN) data for a crystal of LaBe4Re relaxed with PBEsol, as listed in Alexandria via LeMat-Bulk.

a b c (Å): 6.759 6.759 6.759
angles (deg): 90.00 90.00 90.00
Space group F-43m (No. 216)
Symmetry-distinct sites (fractional):
La1 0.000 0.000 0.000 x4
Be1 0.121 0.121 0.379 x16
Re1 0.250 0.250 0.750 x4

Output
ΔH_f (0 K) = 0.283 eV/atom
Total moment = 1.5 μB/f.u.

=====

First-principles (SCAN) data for a crystal of RbTmW2O8 relaxed with PBEsol, as listed in Alexandria via LeMat-Bulk.

a b c (Å): 5.9524 5.9524 7.6251
angles (deg): 90.00 90.00 120.00
Space group P-3m1 (No. 164)
Symmetry-distinct sites (fractional):
Rb1 0.0000 0.0000 0.0000 x1
Tm1 0.0000 0.0000 0.5000 x1
W1 0.3333 0.6667 0.2488 x2
O1 0.1679 0.3358 0.3242 x6
O2 0.3333 0.6667 0.0190 x2

Output
Total DFT energy (no corrections) = -294.223 eV/cell
Total moment = 0.0 μB/f.u.

=====

First-principles (SCAN) data for a crystal of KYHf2Ru relaxed with PBEsol, as listed in Alexandria via LeMat-Bulk.

a b c (Å): 4.875 4.875 4.600
angles (deg): 90.00 90.00 90.00
Space group P4/mmm (No. 123)
Symmetry-distinct sites (fractional):
K1 0.000 0.000 0.000 x1
Y1 0.500 0.500 0.500 x1
Hf1 0.000 0.500 0.000 x2
Ru1 0.000 0.000 0.500 x1

Output
ΔH_f (0 K) = 1.873 eV/atom
Total moment = 0.0 μB/f.u.

=====

First-principles (SCAN) data for a crystal of LaCeGe4Pt4 relaxed with PBEsol, as listed in Alexandria via LeMat-Bulk.

a b c (Å): 4.341 4.341 9.930
angles (deg): 90.00 90.04 90.00
Space group Pm (No. 6)
Symmetry-distinct sites (fractional):
La1 0.000 0.000 0.000 x1
Ce1 0.499 0.500 0.504 x1
Ge1 0.000 0.500 0.749 x1
Ge2 0.500 0.000 0.749 x1
Ge3 0.501 0.500 0.121 x1
Ge4 0.998 0.000 0.383 x1
Pt1 0.000 0.000 0.627 x1
Pt2 0.001 0.500 0.256 x1
Pt3 0.497 0.000 0.255 x1
Pt4 0.500 0.500 0.873 x1

Output
ΔH_f (0 K) = -1.146 eV/atom
Total moment = 1.0 μB/f.u.

=====

First-principles (SCAN) data for a crystal of LaBiBr2F relaxed with PBEsol, as listed in Alexandria via LeMat-Bulk.

a b c (Å): 5.574 5.574 6.280
angles (deg): 90.00 90.00 90.00
Space group P4/mmm (No. 123)
Symmetry-distinct sites (fractional):
La1 0.000 0.000 0.000 x1
Bi1 0.000 0.000 0.500 x1
Br1 0.000 0.500 0.500 x2
F1 0.500 0.500 0.000 x1

Output
Total DFT energy (no corrections) = -167.528 eV/cell
Total moment = 0.1 μB/f.u.

=====

First-principles (SCAN) data for a crystal of BaScHg2 relaxed with PBEsol, as listed in Alexandria via LeMat-Bulk.

a b c (Å): 3.623 3.623 7.997
angles (deg): 90.00 90.00 90.00
Space group P4/mmm (No. 123)
Symmetry-distinct sites (fractional):
Ba1 0.000 0.000 0.000 x1
Sc1 0.000 0.000 0.500 x1
Hg1 0.500 0.500 0.304 x2

Output
ΔH_f (0 K) = -0.602 eV/atom
Total moment = 0.0 μB/f.u.

=====

First-principles (SCAN) data for a crystal of YMg2Cu2 relaxed with PBEsol, as listed in Alexandria via LeMat-Bulk.

a b c (Å): 4.750 3.796 10.796
angles (deg): 90.00 96.63 90.00
Space group P2_1/m (No. 11)
Symmetry-distinct sites (fractional):
Y1 0.184 0.250 0.242 x2
Mg1 0.248 0.750 0.493 x2
Mg2 0.352 0.250 0.896 x2
Cu1 0.135 0.750 0.031 x2
Cu2 0.294 0.250 0.659 x2

Output
ΔH_f (0 K) = -0.155 eV/atom
E above lowest polymorph = 4.75 kJ/mol of atoms
Total moment = 0.0 μB/f.u.